Entry 1:
Entry from the Alexandria database: an optimized crystal structure of Sm6YErSc2 (PBE).

Properties
Space group ... No. 15
Density ... 6.53 g/cm3
Electronic total energy ... -101.5 eV per cell
Magnetization ... 0.00 μB per cell
DOS(E_F) ... 31.353 states/eV per cell

Cell lengths 8.752, 8.752, 9.466 Å; angles 93.86, 93.86, 117.97 degrees
Atoms (fractional coordinates):
Sm 0.014 0.560 0.183
Sm 0.116 0.761 0.552
Sm 0.239 0.884 0.948
Sm 0.297 0.503 0.382
Sm 0.440 0.986 0.317
Sm 0.497 0.703 0.118
Sm 0.503 0.297 0.882
Sm 0.560 0.014 0.683
Sm 0.703 0.497 0.618
Sm 0.761 0.116 0.052
Sm 0.884 0.239 0.448
Sm 0.986 0.440 0.817
Y 0.027 0.973 0.250
Y 0.973 0.027 0.750
Er 0.409 0.591 0.750
Er 0.591 0.409 0.250
Sc 0.198 0.302 0.047
Sc 0.302 0.198 0.547
Sc 0.698 0.802 0.453
Sc 0.802 0.698 0.953

***

Entry 2:
Entry from the Alexandria database: an optimized crystal structure of PrScCu4 (PBE).

Properties
Space group ... No. 216
Density ... 7.20 g/cm3
Electronic total energy ... -28.2 eV per cell
Magnetization ... 0.00 μB per cell
DOS(E_F) ... 3.949 states/eV per cell

Cell lengths 5.235, 5.235, 5.235 Å; angles 60.00, 60.00, 60.00 degrees
Atoms (fractional coordinates):
Pr 0.000 0.000 0.000
Sc 0.250 0.250 0.250
Cu 0.130 0.623 0.623
Cu 0.623 0.130 0.623
Cu 0.623 0.623 0.130
Cu 0.623 0.623 0.623

***

Entry 3:
Entry from the Alexandria database: an optimized crystal structure of Hf2TaOs3 (PBE).

Properties
Space group ... No. 65
Density ... 18.23 g/cm3
Electronic total energy ... -68.7 eV per cell
Magnetization ... 0.00 μB per cell
DOS(E_F) ... 2.564 states/eV per cell

Cell lengths 7.250, 7.250, 3.199 Å; angles 90.00, 90.00, 143.08 degrees
Atoms (fractional coordinates):
Hf 0.166 0.834 0.000
Hf 0.834 0.166 0.000
Ta 0.500 0.500 0.000
Os 0.000 0.000 0.500
Os 0.336 0.664 0.500
Os 0.664 0.336 0.500

***

Entry 4:
Entry from the Alexandria database: an optimized crystal structure of NaZn2BRu (PBE).

Properties
Space group ... No. 123
Density ... 5.05 g/cm3
Electronic total energy ... -10.0 eV per cell
Magnetization ... 1.81 μB per cell
DOS(E_F) ... 4.005 states/eV per cell

Cell lengths 4.564, 4.564, 4.191 Å; angles 90.00, 90.00, 90.00 degrees
Atoms (fractional coordinates):
Na 0.000 0.000 0.000
Zn 0.000 0.500 0.000
Zn 0.500 0.000 0.000
B 0.000 0.000 0.500
Ru 0.500 0.500 0.500

***

Entry 5:
Entry from the Alexandria database: an optimized crystal structure of La2DyTm (PBE).

Properties
Space group ... No. 123
Density ... 7.46 g/cm3
Electronic total energy ... -18.8 eV per cell
Magnetization ... 0.00 μB per cell
DOS(E_F) ... 6.501 states/eV per cell

Cell lengths 3.715, 3.715, 9.824 Å; angles 90.00, 90.00, 90.00 degrees
Atoms (fractional coordinates):
La 0.000 0.000 0.248
La 0.000 0.000 0.752
Dy 0.500 0.500 0.500
Tm 0.500 0.500 0.000

***

Entry 6:
Entry from the Alexandria database: an optimized crystal structure of Al2VI (PBE).

Properties
Space group ... No. 122
Density ... 4.26 g/cm3
Electronic total energy ... -31.1 eV per cell
Magnetization ... 6.44 μB per cell
Energy relative to the elements, uncorrected ... 0.65 eV/atom
DOS(E_F) ... 6.996 states/eV per cell

Cell lengths 6.297, 6.297, 6.297 Å; angles 102.14, 102.14, 125.40 degrees
Atoms (fractional coordinates):
Al 0.093 0.625 0.968
Al 0.375 0.343 0.468
Al 0.657 0.125 0.032
Al 0.875 0.907 0.532
V 0.000 0.000 0.000
V 0.750 0.250 0.500
I 0.250 0.750 0.500
I 0.500 0.500 0.000